Below is crystalline Ba2HgCl at its relaxed geometry, with properties calculated at the GGA-PBE level.

energy above the most stable polymorph in this dataset: 0.070 eV/atom
calculated density: 5.4 g cm⁻³
E_form (uncorrected): -4.2 eV/f.u.

a b c (Å): 4.210 4.447 16.852
angles (deg): 90.00 90.00 90.00
Space group Imm2 (No. 44)
Unique sites:
1 Ba 0.000 0.000 0.000
2 Ba 0.000 0.500 0.247
3 Hg 0.000 0.000 0.407
4 Cl 0.000 0.500 0.670